Record 1
Below is a relaxed structure of NdTlSnS3, with properties calculated at the GGA-PBE level.

Properties
crystal system: orthorhombic
DFT total energy: -4.9120 eV/atom

Cell lengths 8.2969, 8.2969, 11.2107 Å; angles 90.00, 90.00, 151.18 degrees
Atoms (fractional coordinates):
S (0.3800, 0.6200, 0.9991)
S (0.3800, 0.6200, 0.5009)
S (0.6200, 0.3800, 0.4991)
S (0.6200, 0.3800, 0.0009)
S (0.9764, 0.0236, 0.2500)
S (0.0236, 0.9764, 0.7500)
Nd (0.0000, 0.0000, 0.0000)
Nd (0.0000, 0.0000, 0.5000)
Sn (0.3696, 0.6304, 0.2500)
Sn (0.6304, 0.3696, 0.7500)
Tl (0.3128, 0.6872, 0.7500)
Tl (0.6872, 0.3128, 0.2500)


Record 2
Below is a relaxed structure of Zr4FeNiAs2, with properties calculated at the GGA-PBE level.

Properties
crystal system: monoclinic
DFT total energy: -7.9362 eV/atom

Cell lengths 5.3740, 3.7352, 7.5673 Å; angles 90.00, 110.26, 90.00 degrees
Atoms (fractional coordinates):
Zr (0.7973, 0.0000, 0.0813)
Zr (0.7335, 0.5000, 0.4448)
Zr (0.1951, 0.5000, 0.9104)
Zr (0.2685, 0.0000, 0.5695)
As (0.6345, 0.5000, 0.7914)
As (0.3618, 0.0000, 0.2099)
Fe (0.8716, 0.0000, 0.7015)
Ni (0.1376, 0.5000, 0.2912)


Record 3
Below is a relaxed structure of LaAlCdPt, with properties calculated at the GGA-PBE level.

Properties
crystal system: orthorhombic
DFT total energy: -4.6900 eV/atom

Cell lengths 7.6283, 5.6529, 5.6529 Å; angles 46.47, 90.00, 90.00 degrees
Atoms (fractional coordinates):
Al (0.3097, 0.3467, 0.3467)
Al (0.6903, 0.3467, 0.3467)
Cd (0.1977, 0.6353, 0.6353)
Cd (0.8023, 0.6353, 0.6353)
La (0.5000, 0.0689, 0.0689)
La (0.0000, 0.9310, 0.9310)
Pt (0.5000, 0.8002, 0.8002)
Pt (0.0000, 0.2359, 0.2359)


Record 4
Below is a relaxed structure of AgCl2, with properties calculated at the GGA-PBE level.

Properties
crystal system: orthorhombic
DFT total energy: -2.4794 eV/atom

Cell lengths 6.0897, 6.4716, 7.2613 Å; angles 90.00, 90.00, 90.00 degrees
Atoms (fractional coordinates):
Cl (0.8280, 0.6803, 0.8821)
Cl (0.3280, 0.6803, 0.6179)
Cl (0.6720, 0.3197, 0.3821)
Cl (0.1720, 0.1803, 0.6179)
Cl (0.6720, 0.1803, 0.8821)
Cl (0.8280, 0.8197, 0.3821)
Cl (0.1720, 0.3197, 0.1179)
Cl (0.3280, 0.8197, 0.1179)
Ag (0.0000, 0.0000, 0.0000)
Ag (0.5000, 0.0000, 0.5000)
Ag (0.0000, 0.5000, 0.5000)
Ag (0.5000, 0.5000, 0.0000)


Record 5
Below is a relaxed structure of LiAsOs2, with properties calculated at the GGA-PBE level.

Properties
crystal system: cubic
DFT total energy: -6.9393 eV/atom

Cell lengths 4.3110, 4.3110, 4.3110 Å; angles 60.00, 60.00, 60.00 degrees
Atoms (fractional coordinates):
Os (0.7500, 0.7500, 0.7500)
Os (0.0000, 0.0000, 0.0000)
Li (0.2500, 0.2500, 0.2500)
As (0.5000, 0.5000, 0.5000)


Record 6
Below is a relaxed structure of K2CoAuBr6, with properties calculated at the GGA-PBE level.

Properties
crystal system: cubic
DFT total energy: -3.0196 eV/atom

Cell lengths 7.4436, 7.4436, 7.4436 Å; angles 60.00, 60.00, 60.00 degrees
Atoms (fractional coordinates):
K (0.7500, 0.7500, 0.7500)
K (0.2500, 0.2500, 0.2500)
Br (0.7390, 0.7390, 0.2610)
Br (0.7390, 0.2610, 0.7390)
Br (0.2610, 0.2610, 0.7390)
Br (0.2610, 0.7390, 0.2610)
Br (0.2610, 0.7390, 0.7390)
Br (0.7390, 0.2610, 0.2610)
Au (0.0000, 0.0000, 0.0000)
Co (0.5000, 0.5000, 0.5000)


Record 7
Below is a relaxed structure of KAl3Tl3Au4, with properties calculated at the GGA-PBE level.

Properties
crystal system: hexagonal
DFT total energy: -3.1380 eV/atom

Cell lengths 8.3083, 8.3083, 4.2073 Å; angles 90.00, 90.00, 120.00 degrees
Atoms (fractional coordinates):
Au (0.6667, 0.3333, 0.0000)
Au (0.5703, 0.7851, 0.5000)
Au (0.2149, 0.4297, 0.5000)
Au (0.2149, 0.7851, 0.5000)
Al (0.4614, 0.5386, 0.0000)
Al (0.0772, 0.5386, 0.0000)
Al (0.4614, 0.9228, 0.0000)
Tl (0.3789, 0.1895, 0.5000)
Tl (0.8105, 0.1895, 0.5000)
Tl (0.8105, 0.6211, 0.5000)
K (0.0000, 0.0000, 0.0000)


Record 8
Below is a relaxed structure of Nb2Ge2Os3, with properties calculated at the GGA-PBE level.

Properties
crystal system: trigonal
DFT total energy: -9.1623 eV/atom

Cell lengths 7.5140, 7.5140, 7.5140 Å; angles 33.63, 33.63, 33.63 degrees
Atoms (fractional coordinates):
Os (0.6258, 0.6258, 0.6258)
Os (0.3724, 0.3724, 0.3724)
Os (0.8764, 0.8764, 0.8764)
Nb (0.2433, 0.2433, 0.2433)
Nb (0.7545, 0.7545, 0.7545)
Ge (0.4940, 0.4940, 0.4940)
Ge (0.0085, 0.0085, 0.0085)


Record 9
Below is a relaxed structure of CsLuZrTe3, with properties calculated at the GGA-PBE level.

Properties
crystal system: orthorhombic
DFT total energy: -4.8796 eV/atom

Cell lengths 9.1657, 9.1657, 11.3779 Å; angles 90.00, 90.00, 152.21 degrees
Atoms (fractional coordinates):
Cs (0.2494, 0.7506, 0.2500)
Cs (0.7506, 0.2494, 0.7500)
Zr (0.5000, 0.5000, 0.0000)
Zr (0.5000, 0.5000, 0.5000)
Te (0.1174, 0.8826, 0.5351)
Te (0.5704, 0.4296, 0.2500)
Te (0.8826, 0.1174, 0.0351)
Te (0.4296, 0.5704, 0.7500)
Te (0.8826, 0.1174, 0.4649)
Te (0.1174, 0.8826, 0.9649)
Lu (0.0333, 0.9667, 0.7500)
Lu (0.9667, 0.0333, 0.2500)


Record 10
Below is a relaxed structure of GdAu2, with properties calculated at the GGA-PBE level.

Properties
crystal system: tetragonal
calculated formation energy: -19.58 kcal/mol of atoms

Cell lengths 3.7492, 3.7492, 5.2613 Å; angles 110.87, 110.87, 90.00 degrees
Atoms (fractional coordinates):
Au (0.6655, 0.6655, 0.3311)
Au (0.3345, 0.3345, 0.6689)
Gd (0.0000, 0.0000, 0.0000)


Record 11
Below is a relaxed structure of KDyCdTe3, with properties calculated at the GGA-PBE level.

Properties
crystal system: orthorhombic
DFT total energy: -3.7223 eV/atom

Cell lengths 15.9594, 4.4884, 11.9648 Å; angles 90.00, 90.00, 90.00 degrees
Atoms (fractional coordinates):
Dy (0.9770, 0.7500, 0.1510)
Dy (0.4770, 0.7500, 0.3490)
Dy (0.5230, 0.2500, 0.6510)
Dy (0.0230, 0.2500, 0.8490)
Te (0.1436, 0.7500, 0.7626)
Te (0.0985, 0.2500, 0.0802)
Te (0.3564, 0.2500, 0.2626)
Te (0.4047, 0.2500, 0.8751)
Te (0.9047, 0.2500, 0.6249)
Te (0.5985, 0.2500, 0.4198)
Te (0.4015, 0.7500, 0.5802)
Te (0.5953, 0.7500, 0.1249)
Te (0.8564, 0.2500, 0.2374)
Te (0.0953, 0.7500, 0.3751)
Te (0.6436, 0.7500, 0.7374)
Te (0.9015, 0.7500, 0.9198)
Cd (0.9833, 0.2500, 0.4001)
Cd (0.5167, 0.7500, 0.9001)
Cd (0.0167, 0.7500, 0.5999)
Cd (0.4833, 0.2500, 0.0999)
K (0.7341, 0.2500, 0.9506)
K (0.7659, 0.7500, 0.4506)
K (0.2341, 0.2500, 0.5494)
K (0.2659, 0.7500, 0.0494)


Record 12
Below is a relaxed structure of BaW2Au, with properties calculated at the GGA-PBE level.

Properties
crystal system: cubic
DFT total energy: -6.5518 eV/atom

Cell lengths 4.9109, 4.9109, 4.9109 Å; angles 60.00, 60.00, 60.00 degrees
Atoms (fractional coordinates):
W (0.0000, 0.0000, 0.0000)
W (0.2500, 0.2500, 0.2500)
Au (0.5000, 0.5000, 0.5000)
Ba (0.7500, 0.7500, 0.7500)